Record 1
VASP calculation (PBE-GGA) on a geometry-optimized K2TiCuOs structure.

Energy of formation from the pure elements, meV/atom: 2222
Space group: P4/mmm

abc: 6.2915 4.5870 6.2915
angles: 90.00 90.00 90.00
Closest atoms and distances in Å follow each position.
Positions (direct):
1 K 0.0000 0.0000 0.5000  2 Ti 3.15
2 K 0.5000 0.0000 0.0000  2 Ti 3.15
3 Os 0.5000 0.5000 0.5000  8 K 3.89
4 Cu 0.0000 0.5000 0.0000  2 Ti 2.29
5 Ti 0.0000 0.0000 0.0000  2 Cu 2.29

Record 2
VASP calculation (PBE-GGA) on a geometry-optimized KReBiO5 structure.

Formation energy from raw total energies, eV per atom: -1.435
Space group: C2/c

abc: 6.4590 6.4590 8.2781
angles: 102.23 102.23 108.91
Closest atoms and distances in Å follow each position.
Positions (direct):
1 K 0.3232 0.6768 0.2500  3 O 2.59-2.86
2 K 0.6768 0.3232 0.7500  3 O 2.59-2.86
3 Re 0.6761 0.3239 0.2500  4 O 1.80-1.81
4 Re 0.3239 0.6761 0.7500  4 O 1.80-1.81
5 Bi 0.0000 0.0000 0.5000  2 O 2.22
6 Bi 0.0000 0.0000 0.0000  2 O 2.22
7 O 0.0770 0.9230 0.2500  2 Bi 2.22
8 O 0.9230 0.0770 0.7500  2 Bi 2.22
9 O 0.8804 0.3112 0.1323  1 Re 1.81
10 O 0.1196 0.6888 0.8677  1 Re 1.81
11 O 0.6888 0.1196 0.3677  1 Re 1.81
12 O 0.3112 0.8804 0.6323  1 Re 1.81
13 O 0.7267 0.5833 0.4131  1 Re 1.80
14 O 0.2733 0.4167 0.5869  1 Re 1.80
15 O 0.4167 0.2733 0.0869  1 Re 1.80
16 O 0.5833 0.7267 0.9131  1 Re 1.80

Record 3
VASP calculation (PBE-GGA) on a geometry-optimized In12Te3Br5 structure.

Formation energy from raw total energies, eV per atom: -0.227
Space group: Ia-3d

abc: 16.5459 16.5459 16.5459
angles: 109.47 109.47 109.47
Closest atoms and distances in Å follow each position.
Positions (direct):
1 Te 0.7500 0.3750 0.1250  8 In 3.31-3.55
2 Te 0.8750 0.7500 0.1250  8 In 3.31-3.55
3 Te 0.3750 0.7500 0.6250  8 In 3.31-3.55
4 Te 0.2500 0.1250 0.3750  8 In 3.31-3.55
5 Te 0.8750 0.1250 0.2500  8 In 3.31-3.55
6 Te 0.3750 0.6250 0.2500  8 In 3.31-3.55
7 Te 0.6250 0.3750 0.7500  8 In 3.31-3.55
8 Te 0.1250 0.8750 0.7500  8 In 3.31-3.55
9 Te 0.7500 0.8750 0.6250  8 In 3.31-3.55
10 Te 0.6250 0.2500 0.3750  8 In 3.31-3.55
11 Te 0.1250 0.2500 0.8750  8 In 3.31-3.55
12 Te 0.2500 0.6250 0.8750  8 In 3.31-3.55
13 Br 0.1250 0.3750 0.2500  4 In 3.16
14 Br 0.0000 0.5000 0.0000  6 In 3.27
15 Br 0.0000 0.0000 0.0000  6 In 3.27
16 Br 0.3750 0.2500 0.1250  4 In 3.16
17 Br 0.5000 0.0000 0.5000  6 In 3.27
18 Br 0.5000 0.5000 0.0000  6 In 3.27
19 Br 0.1250 0.7500 0.3750  4 In 3.16
20 Br 0.7500 0.1250 0.8750  4 In 3.16
21 Br 0.7500 0.6250 0.3750  4 In 3.16
22 Br 0.3750 0.1250 0.7500  4 In 3.16
23 Br 0.6250 0.8750 0.2500  4 In 3.16
24 Br 0.5000 0.5000 0.5000  6 In 3.27
25 Br 0.5000 0.0000 0.0000  6 In 3.27
26 Br 0.0000 0.0000 0.5000  6 In 3.27
27 Br 0.2500 0.3750 0.6250  4 In 3.16
28 Br 0.2500 0.8750 0.1250  4 In 3.16
29 Br 0.0000 0.5000 0.5000  6 In 3.27
30 Br 0.8750 0.2500 0.6250  4 In 3.16
31 Br 0.6250 0.7500 0.8750  4 In 3.16
32 Br 0.8750 0.6250 0.7500  4 In 3.16
33 In 0.7241 0.1521 0.0617  2 Br 3.16-3.27, 1 Te 3.31, 1 In 3.45
34 In 0.3376 0.5617 0.4096  2 Br 3.16-3.27, 1 Te 3.31, 1 In 3.45
35 In 0.9383 0.3479 0.2759  2 Br 3.16-3.27, 1 Te 3.31, 1 In 3.45
36 In 0.5617 0.2241 0.1521  2 Br 3.16-3.27, 1 Te 3.31, 1 In 3.45
37 In 0.5721 0.7241 0.6624  2 Br 3.16-3.27, 1 Te 3.31, 1 In 3.45
38 In 0.9383 0.5904 0.1624  2 Br 3.16-3.27, 1 Te 3.31, 1 In 3.45
39 In 0.3376 0.7759 0.4279  2 Br 3.16-3.27, 1 Te 3.31, 1 In 3.45
40 In 0.0904 0.9279 0.1521  2 Br 3.16-3.27, 1 Te 3.31, 1 In 3.45
41 In 0.5904 0.9383 0.6624  2 Br 3.16-3.27, 1 Te 3.31, 1 In 3.45
42 In 0.7241 0.5721 0.1624  2 Br 3.16-3.27, 1 Te 3.31, 1 In 3.45
43 In 0.7759 0.4383 0.3479  2 Br 3.16-3.27, 1 Te 3.31, 1 In 3.45
44 In 0.8376 0.9096 0.0617  2 Br 3.16-3.27, 1 Te 3.31, 1 In 3.45
45 In 0.1521 0.7241 0.5617  2 Br 3.16-3.27, 1 Te 3.31, 1 In 3.45
46 In 0.3479 0.4096 0.0721  2 Br 3.16-3.27, 1 Te 3.31, 1 In 3.45
47 In 0.0721 0.9096 0.3479  2 Br 3.16-3.27, 1 Te 3.31, 1 In 3.45
48 In 0.4279 0.1521 0.5904  2 Br 3.16-3.27, 1 Te 3.31, 1 In 3.45
49 In 0.0721 0.1624 0.2241  2 Br 3.16-3.27, 1 Te 3.31, 1 In 3.45
50 In 0.4383 0.6624 0.0904  2 Br 3.16-3.27, 1 Te 3.31, 1 In 3.45
51 In 0.8376 0.9279 0.2759  2 Br 3.16-3.27, 1 Te 3.31, 1 In 3.45
52 In 0.1521 0.4279 0.0904  2 Br 3.16-3.27, 1 Te 3.31, 1 In 3.45
53 In 0.3479 0.9383 0.7759  2 Br 3.16-3.27, 1 Te 3.31, 1 In 3.45
54 In 0.5904 0.6521 0.4279  2 Br 3.16-3.27, 1 Te 3.31, 1 In 3.45
55 In 0.9096 0.8376 0.5617  2 Br 3.16-3.27, 1 Te 3.31, 1 In 3.45
56 In 0.7759 0.3376 0.9279  2 Br 3.16-3.27, 1 Te 3.31, 1 In 3.45
57 In 0.4096 0.3479 0.5721  2 Br 3.16-3.27, 1 Te 3.31, 1 In 3.45
58 In 0.0904 0.1624 0.4383  2 Br 3.16-3.27, 1 Te 3.31, 1 In 3.45
59 In 0.2241 0.6624 0.0721  2 Br 3.16-3.27, 1 Te 3.31, 1 In 3.45
60 In 0.1624 0.0721 0.7241  2 Br 3.16-3.27, 1 Te 3.31, 1 In 3.45
61 In 0.6521 0.0617 0.2241  2 Br 3.16-3.27, 1 Te 3.31, 1 In 3.45
62 In 0.8479 0.5721 0.9096  2 Br 3.16-3.27, 1 Te 3.31, 1 In 3.45
63 In 0.5617 0.3376 0.9096  2 Br 3.16-3.27, 1 Te 3.31, 1 In 3.45
64 In 0.5721 0.8479 0.4096  2 Br 3.16-3.27, 1 Te 3.31, 1 In 3.45
65 In 0.9279 0.8376 0.7759  2 Br 3.16-3.27, 1 Te 3.31, 1 In 3.45
66 In 0.9279 0.0904 0.6521  2 Br 3.16-3.27, 1 Te 3.31, 1 In 3.45
67 In 0.8479 0.2759 0.4383  2 Br 3.16-3.27, 1 Te 3.31, 1 In 3.45
68 In 0.1624 0.0904 0.9383  2 Br 3.16-3.27, 1 Te 3.31, 1 In 3.45
69 In 0.6521 0.5904 0.9279  2 Br 3.16-3.27, 1 Te 3.31, 1 In 3.45
70 In 0.4096 0.0617 0.3376  2 Br 3.16-3.27, 1 Te 3.31, 1 In 3.45
71 In 0.2759 0.4279 0.8376  2 Br 3.16-3.27, 1 Te 3.31, 1 In 3.45
72 In 0.2241 0.5617 0.6521  2 Br 3.16-3.27, 1 Te 3.31, 1 In 3.45
73 In 0.9096 0.0721 0.8479  2 Br 3.16-3.27, 1 Te 3.31, 1 In 3.45
74 In 0.6624 0.2241 0.5721  2 Br 3.16-3.27, 1 Te 3.31, 1 In 3.45
75 In 0.4383 0.7759 0.8479  2 Br 3.16-3.27, 1 Te 3.31, 1 In 3.45
76 In 0.0617 0.4096 0.8376  2 Br 3.16-3.27, 1 Te 3.31, 1 In 3.45
77 In 0.4279 0.2759 0.3376  2 Br 3.16-3.27, 1 Te 3.31, 1 In 3.45
78 In 0.0617 0.6521 0.7241  2 Br 3.16-3.27, 1 Te 3.31, 1 In 3.45
79 In 0.6624 0.4383 0.5904  2 Br 3.16-3.27, 1 Te 3.31, 1 In 3.45
80 In 0.2759 0.8479 0.9383  2 Br 3.16-3.27, 1 Te 3.31, 1 In 3.45

Record 4
VASP calculation (PBE-GGA) on a geometry-optimized PaCdRuRh structure.

Energy of formation from the pure elements, meV/atom: -393
Space group: F-43m

abc: 4.7212 4.7212 4.7212
angles: 60.00 60.00 60.00
Closest atoms and distances in Å follow each position.
Positions (direct):
1 Ru 0.7500 0.7500 0.7500  4 Cd 2.89, 4 Pa 2.89
2 Pa 0.0000 0.0000 0.0000  4 Ru 2.89, 4 Rh 2.89
3 Rh 0.2500 0.2500 0.2500  4 Cd 2.89, 4 Pa 2.89
4 Cd 0.5000 0.5000 0.5000  4 Ru 2.89, 4 Rh 2.89

Record 5
VASP calculation (PBE-GGA) on a geometry-optimized Fe3PdPt6 structure.

Energy of formation from the pure elements, meV/atom: -203
Space group: P2_1/m

abc: 3.8899 8.6708 8.7340
angles: 90.51 90.00 90.00
Closest atoms and distances in Å follow each position.
Positions (direct):
1 Fe 0.2500 0.5509 0.3989  8 Pt 2.64-2.73, 4 Fe 2.74-2.78
2 Fe 0.7500 0.4491 0.6011  8 Pt 2.64-2.73, 4 Fe 2.74-2.78
3 Fe 0.2500 0.3521 0.7996  8 Pt 2.63-2.77, 4 Fe 2.74-2.79
4 Fe 0.7500 0.6479 0.2004  8 Pt 2.63-2.77, 4 Fe 2.74-2.79
5 Fe 0.2500 0.7482 0.9958  10 Pt 2.68-2.83, 2 Fe 2.79
6 Fe 0.7500 0.2518 0.0042  10 Pt 2.68-2.83, 2 Fe 2.79
7 Pd 0.2500 0.9505 0.5999  2 Pd 2.76, 10 Pt 2.79-2.86
8 Pd 0.7500 0.0495 0.4001  2 Pd 2.76, 10 Pt 2.79-2.86
9 Pt 0.2500 0.4569 0.1000  7 Fe 2.69-2.77, 5 Pt 2.72-2.76
10 Pt 0.7500 0.5431 0.9000  7 Fe 2.69-2.77, 5 Pt 2.72-2.76
11 Pt 0.2500 0.1546 0.1974  8 Pt 2.69-2.90, 2 Fe 2.71, 2 Pd 2.79
12 Pt 0.7500 0.8454 0.8026  8 Pt 2.69-2.90, 2 Fe 2.71, 2 Pd 2.79
13 Pt 0.2500 0.6361 0.6968  5 Fe 2.63-2.78, 6 Pt 2.76-2.81, 1 Pd 2.86
14 Pt 0.7500 0.3639 0.3032  5 Fe 2.63-2.78, 6 Pt 2.76-2.81, 1 Pd 2.86
15 Pt 0.2500 0.2649 0.5052  4 Fe 2.65-2.67, 5 Pt 2.77-2.84, 3 Pd 2.84-2.86
16 Pt 0.7500 0.7351 0.4948  4 Fe 2.65-2.67, 5 Pt 2.77-2.84, 3 Pd 2.84-2.86
17 Pt 0.2500 0.8342 0.2918  4 Fe 2.64-2.68, 5 Pt 2.74-2.90, 3 Pd 2.85-2.86
18 Pt 0.7500 0.1658 0.7082  4 Fe 2.64-2.68, 5 Pt 2.74-2.90, 3 Pd 2.85-2.86
19 Pt 0.2500 0.0602 0.9027  4 Fe 2.69-2.83, 7 Pt 2.69-2.83, 1 Pd 2.80
20 Pt 0.7500 0.9398 0.0973  4 Fe 2.69-2.83, 7 Pt 2.69-2.83, 1 Pd 2.80

Record 6
VASP calculation (PBE-GGA) on a geometry-optimized Ag3SnBr2F6 structure.

Formation energy from raw total energies, eV per atom: -1.449
Space group: C2/m

abc: 5.1503 6.7430 7.4563
angles: 116.88 90.19 90.00
Closest atoms and distances in Å follow each position.
Positions (direct):
1 Ag 0.0000 0.5000 0.0000  4 F 2.54, 2 Br 2.64
2 Ag 0.5000 0.5000 0.5000  4 F 2.56-2.76, 2 Br 2.59
3 Ag 0.5000 0.0000 0.5000  4 F 2.56-2.76, 2 Br 2.59
4 Sn 0.5000 0.0000 0.0000  6 F 2.01-2.02
5 Br 0.1501 0.6897 0.3794  3 Ag 2.59-2.64
6 Br 0.8499 0.3103 0.6206  3 Ag 2.59-2.64
7 F 0.7192 0.2781 0.1243  1 Sn 2.02
8 F 0.2808 0.7219 0.8757  1 Sn 2.02
9 F 0.7042 0.8713 0.7426  1 Sn 2.01
10 F 0.2958 0.1287 0.2574  1 Sn 2.01
11 F 0.2808 0.1538 0.8757  1 Sn 2.02
12 F 0.7192 0.8462 0.1243  1 Sn 2.02

What did the sixth record say?
VASP calculation (PBE-GGA) on a geometry-optimized Ag3SnBr2F6 structure.

Formation energy from raw total energies, eV per atom: -1.449
Space group: C2/m

abc: 5.1503 6.7430 7.4563
angles: 116.88 90.19 90.00
Closest atoms and distances in Å follow each position.
Positions (direct):
1 Ag 0.0000 0.5000 0.0000  4 F 2.54, 2 Br 2.64
2 Ag 0.5000 0.5000 0.5000  4 F 2.56-2.76, 2 Br 2.59
3 Ag 0.5000 0.0000 0.5000  4 F 2.56-2.76, 2 Br 2.59
4 Sn 0.5000 0.0000 0.0000  6 F 2.01-2.02
5 Br 0.1501 0.6897 0.3794  3 Ag 2.59-2.64
6 Br 0.8499 0.3103 0.6206  3 Ag 2.59-2.64
7 F 0.7192 0.2781 0.1243  1 Sn 2.02
8 F 0.2808 0.7219 0.8757  1 Sn 2.02
9 F 0.7042 0.8713 0.7426  1 Sn 2.01
10 F 0.2958 0.1287 0.2574  1 Sn 2.01
11 F 0.2808 0.1538 0.8757  1 Sn 2.02
12 F 0.7192 0.8462 0.1243  1 Sn 2.02

> Number 4 is which compound?

PaCdRuRh